(1)
Below is an optimized crystal structure of LiCo3H, with properties calculated at the PBE-GGA level.

Cell: 3.5961 3.5961 3.5961 Å, 90.00 90.00 90.00°
With the nearest neighbours (Å) after each atom.
Fractional positions:
Li 0.0000 0.0000 0.0000  12 Co 2.54
Co 0.0000 0.5000 0.5000  2 H 1.80
Co 0.5000 0.0000 0.5000  2 H 1.80
Co 0.5000 0.5000 0.0000  2 H 1.80
H 0.5000 0.5000 0.5000  6 Co 1.80

For the density of states at the Fermi level, the calculation gives 5.2 states/eV per cell. The total magnetization is 4.4 μB per formula unit. As for the energy above the most stable polymorph in this dataset: 0.0 kJ/mol of atoms. As for the space group: Pm-3m (221).

=====

(2)
Below is an optimized crystal structure of LiCo2H4, with properties calculated at the PBE-GGA level.

Cell: 5.1285 5.1285 5.1285 Å, 119.95 119.95 90.08°
With the nearest neighbours (Å) after each atom.
Fractional positions:
Li 0.3750 0.6250 0.7500  4 H 1.81
Li 0.6250 0.3750 0.2500  4 H 1.81
Co 0.0000 0.0000 0.0000  6 H 1.69
Co 0.0000 0.0000 0.5000  6 H 1.69
Co 0.0000 0.5000 0.0000  6 H 1.69
Co 0.5000 0.0000 0.5000  6 H 1.69
H 0.1937 0.2312 0.9624  3 Co 1.69, 1 Li 1.81
H 0.2312 0.1937 0.4624  3 Co 1.69, 1 Li 1.81
H 0.2312 0.7688 0.0376  3 Co 1.69, 1 Li 1.81
H 0.2312 0.7688 0.4624  3 Co 1.69, 1 Li 1.81
H 0.7688 0.2312 0.5376  3 Co 1.69, 1 Li 1.81
H 0.7688 0.2312 0.9624  3 Co 1.69, 1 Li 1.81
H 0.7688 0.8063 0.5376  3 Co 1.69, 1 Li 1.81
H 0.8063 0.7688 0.0376  3 Co 1.69, 1 Li 1.81

For the density of states at the Fermi level, the calculation gives 5.4 states/eV per cell. The total magnetization is 0.0 μB per formula unit. As for the uncorrected energy: -4.35 eV/atom. As for the space group: I4_1/amd (141).

=====

(3)
Below is an optimized crystal structure of LiCoH2, with properties calculated at the PBE-GGA level.

Cell: 4.6147 4.6147 4.6147 Å, 33.62 33.62 33.62°
With the nearest neighbours (Å) after each atom.
Fractional positions:
Li 0.0000 0.0000 0.0000  6 H 2.05
Co 0.5000 0.5000 0.5000  6 H 1.75
H 0.2295 0.2295 0.2295  3 Co 1.75
H 0.7705 0.7705 0.7705  3 Co 1.75

For the density of states at the Fermi level, the calculation gives 2.0 states/eV per cell. The total magnetization is 0.5 μB per formula unit. As for the energy above the most stable polymorph in this dataset: 0.0 kJ/mol of atoms. As for the space group: R-3m (166).

=====

(4)
Below is an optimized crystal structure of Li2CoH4, with properties calculated at the PBE-GGA level.

Cell: 4.6154 4.6154 4.6587 Å, 116.86 116.86 33.29°
With the nearest neighbours (Å) after each atom.
Fractional positions:
Li 0.1710 0.1710 0.1702  3 H 1.79-1.90
Li 0.8290 0.8290 0.8298  3 H 1.79-1.90
Co 0.5000 0.5000 0.5000  6 H 1.54-1.68
H 0.1223 0.1223 0.5267  2 Co 1.68
H 0.4067 0.4067 0.1250  1 Co 1.54
H 0.5933 0.5933 0.8750  1 Co 1.54
H 0.8777 0.8777 0.4733  2 Co 1.68

For the density of states at the Fermi level, the calculation gives 0.8 states/eV per cell. The total magnetization is 0.0 μB per formula unit. As for the energy above the most stable polymorph in this dataset: 6.3 kJ/mol of atoms. As for the space group: C2/m (12).

=====

(5)
Below is an optimized crystal structure of LiCoH3, with properties calculated at the PBE-GGA level.

Cell: 2.8327 2.8327 9.6277 Å, 90.00 90.00 120.00°
With the nearest neighbours (Å) after each atom.
Fractional positions:
Li 0.0000 0.0000 0.0000  6 H 1.85
Li 0.0000 0.0000 0.5000  6 H 1.85
Co 0.3333 0.6667 0.2500  5 H 1.54-1.64
Co 0.6667 0.3333 0.7500  5 H 1.54-1.64
H 0.0000 0.0000 0.2500  3 Co 1.64
H 0.0000 0.0000 0.7500  3 Co 1.64
H 0.3333 0.6667 0.0902  1 Co 1.54
H 0.3333 0.6667 0.4098  1 Co 1.54
H 0.6667 0.3333 0.5902  1 Co 1.54
H 0.6667 0.3333 0.9098  1 Co 1.54

For the density of states at the Fermi level, the calculation gives 3.9 states/eV per cell. The total magnetization is 0.0 μB per formula unit. As for the uncorrected energy: -3.91 eV/atom. As for the space group: P6_3/mmc (194).

=====

(6)
Below is an optimized crystal structure of LiCoH3, with properties calculated at the PBE-GGA level.

Cell: 2.9622 2.9622 7.4920 Å, 90.00 90.00 120.00°
With the nearest neighbours (Å) after each atom.
Fractional positions:
Li 0.3333 0.6667 0.2500  3 H 1.71
Li 0.6667 0.3333 0.7500  3 H 1.71
Co 0.0000 0.0000 0.0000  8 H 1.76-1.87
Co 0.0000 0.0000 0.5000  8 H 1.76-1.87
H 0.0000 0.0000 0.2500  3 Li 1.71, 2 Co 1.87
H 0.0000 0.0000 0.7500  3 Li 1.71, 2 Co 1.87
H 0.3333 0.6667 0.5577  3 Co 1.76, 3 H 1.92
H 0.3333 0.6667 0.9423  3 Co 1.76, 3 H 1.92
H 0.6667 0.3333 0.0577  3 Co 1.76, 3 H 1.92
H 0.6667 0.3333 0.4423  3 Co 1.76, 3 H 1.92

For the density of states at the Fermi level, the calculation gives 1.7 states/eV per cell. The total magnetization is 0.0 μB per formula unit. As for the uncorrected energy: -3.91 eV/atom. As for the space group: P6_3/mmc (194).

=====

(7)
Below is an optimized crystal structure of Li2CoH5, with properties calculated at the PBE-GGA level.

Cell: 4.9929 4.9929 8.3707 Å, 90.00 90.00 144.09°
With the nearest neighbours (Å) after each atom.
Fractional positions:
Li 0.1395 0.8605 0.5744  5 H 1.79-2.00
Li 0.1395 0.8605 0.9256  5 H 1.79-2.00
Li 0.8605 0.1395 0.0744  5 H 1.79-2.00
Li 0.8605 0.1395 0.4256  5 H 1.79-2.00
Co 0.1617 0.8383 0.2500  6 H 1.52-1.60
Co 0.8383 0.1617 0.7500  6 H 1.52-1.60
H 0.0456 0.9544 0.1243  1 Co 1.52
H 0.0456 0.9544 0.3757  1 Co 1.52
H 0.2697 0.7303 0.1137  1 Co 1.53
H 0.2697 0.7303 0.3863  1 Co 1.53
H 0.2905 0.7095 0.7500  2 Co 1.60
H 0.7095 0.2905 0.2500  2 Co 1.60
H 0.7303 0.2697 0.6137  1 Co 1.53
H 0.7303 0.2697 0.8863  1 Co 1.53
H 0.9544 0.0456 0.6243  1 Co 1.52
H 0.9544 0.0456 0.8757  1 Co 1.52

The total magnetization is 0.1 μB per formula unit. As for the energy above the most stable polymorph in this dataset: 0.0 kJ/mol of atoms. As for the space group: Cmcm (63).

=====

(8)
Below is an optimized crystal structure of LiCoH3, with properties calculated at the PBE-GGA level.

Cell: 4.7124 4.7124 5.1372 Å, 95.00 95.00 36.97°
With the nearest neighbours (Å) after each atom.
Fractional positions:
Li 0.1277 0.1277 0.3708  5 H 1.87-1.95
Li 0.8723 0.8723 0.6292  5 H 1.87-1.95
Co 0.3712 0.3712 0.0940  6 H 1.56-1.74
Co 0.6288 0.6288 0.9060  6 H 1.56-1.74
H 0.2086 0.2086 0.8798  3 Co 1.67-1.74
H 0.3388 0.3388 0.3871  1 Co 1.56
H 0.4506 0.4506 0.8139  2 Co 1.62-1.66
H 0.5494 0.5494 0.1861  2 Co 1.62-1.66
H 0.6612 0.6612 0.6129  1 Co 1.56
H 0.7914 0.7914 0.1202  3 Co 1.67-1.74

For the density of states at the Fermi level, the calculation gives 4.2 states/eV per cell. The total magnetization is 0.8 μB per formula unit. As for the uncorrected energy: -3.96 eV/atom. As for the space group: C2/m (12).

=====

(9)
Below is an optimized crystal structure of LiCo2H2, with properties calculated at the PBE-GGA level.

Cell: 4.5145 4.5145 4.5145 Å, 138.82 138.82 59.65°
With the nearest neighbours (Å) after each atom.
Fractional positions:
Li 0.0000 0.0000 0.0000  8 H 2.52, 10 Co 2.60
Co 0.3318 0.3318 0.0000  4 H 1.71
Co 0.6682 0.6682 0.0000  4 H 1.71
H 0.2500 0.7500 0.5000  4 Co 1.71
H 0.7500 0.2500 0.5000  4 Co 1.71

For the density of states at the Fermi level, the calculation gives 4.0 states/eV per cell. The total magnetization is 2.2 μB per formula unit. As for the energy above the most stable polymorph in this dataset: 0.0 kJ/mol of atoms. As for the space group: I4/mmm (139).

=====

(10)
Below is an optimized crystal structure of LiCo3H, with properties calculated at the PBE-GGA level.

Cell: 3.9104 3.9104 3.9104 Å, 90.00 90.00 90.00°
With the nearest neighbours (Å) after each atom.
Fractional positions:
Li 0.0000 0.0000 0.0000  6 Co 1.96
Co 0.0000 0.0000 0.5000  2 Li 1.96
Co 0.0000 0.5000 0.0000  2 Li 1.96
Co 0.5000 0.0000 0.0000  2 Li 1.96
H 0.5000 0.5000 0.5000  12 Co 2.77

For the density of states at the Fermi level, the calculation gives 5.3 states/eV per cell. The total magnetization is 4.8 μB per formula unit. As for the energy above the most stable polymorph in this dataset: 143.6 kJ/mol of atoms. As for the space group: Pm-3m (221).

=====

(11)
Below is an optimized crystal structure of LiCoH3, with properties calculated at the PBE-GGA level.

Cell: 4.7623 4.7623 4.9462 Å, 90.00 90.00 139.92°
With the nearest neighbours (Å) after each atom.
Fractional positions:
Li 0.1963 0.8037 0.7500  7 H 1.98-2.11
Li 0.8037 0.1963 0.2500  7 H 1.98-2.11
Co 0.4864 0.5136 0.7500  6 H 1.63-1.67
Co 0.5136 0.4864 0.2500  6 H 1.63-1.67
H 0.0254 0.9746 0.2500  2 Co 1.64
H 0.3785 0.6215 0.0161  2 Co 1.63-1.67
H 0.3785 0.6215 0.4839  2 Co 1.63-1.67
H 0.6215 0.3785 0.5161  2 Co 1.63-1.67
H 0.6215 0.3785 0.9839  2 Co 1.63-1.67
H 0.9746 0.0254 0.7500  2 Co 1.64

For the density of states at the Fermi level, the calculation gives 4.6 states/eV per cell. The total magnetization is 0.0 μB per formula unit. As for the uncorrected energy: -3.95 eV/atom. As for the space group: Cmcm (63).

=====

(12)
Below is an optimized crystal structure of Li2Co3H8, with properties calculated at the PBE-GGA level.

Cell: 5.0090 2.6615 6.9451 Å, 90.00 110.39 90.00°
With the nearest neighbours (Å) after each atom.
Fractional positions:
Li 0.2369 0.0000 0.2889  5 H 1.86-1.97
Li 0.7631 0.0000 0.7111  5 H 1.86-1.97
Co 0.2499 0.5000 0.6689  7 H 1.63-1.74
Co 0.5000 0.0000 0.0000  6 H 1.69-1.73
Co 0.7501 0.5000 0.3311  7 H 1.63-1.74
H 0.1024 0.5000 0.4192  2 Co 1.63-1.65, 1 H 1.76
H 0.1819 0.0000 0.8069  3 Co 1.69-1.74
H 0.3587 0.0000 0.5824  2 Co 1.63
H 0.4305 0.5000 0.1353  3 Co 1.70-1.73
H 0.5695 0.5000 0.8647  3 Co 1.70-1.73
H 0.6413 0.0000 0.4176  2 Co 1.63
H 0.8181 0.0000 0.1931  3 Co 1.69-1.74
H 0.8976 0.5000 0.5808  2 Co 1.63-1.65, 1 H 1.76

For the density of states at the Fermi level, the calculation gives 4.4 states/eV per cell. The total magnetization is 1.4 μB per formula unit. As for the uncorrected energy: -4.09 eV/atom. As for the space group: P2/m (10).

=====

> Which of these has the highest total magnetization?

number 10

=====

> Which of these has the highest total magnetization?

number 10